Entry 1:
PBE Zn3Cd3Ag5, relaxed; spin magnetization = 0.00 μB/f.u.; calculated formation energy = 0.21 eV per atom; SG = No. 189
1.0
8.042 0.000 0.000
-4.021 6.965 0.000
0.000 0.000 4.501
Zn Cd Ag
3 3 5
direct
0.000 0.368 0.000 Zn
0.368 0.000 0.000 Zn
0.632 0.632 0.000 Zn
0.000 0.569 0.500 Cd
0.431 0.431 0.500 Cd
0.569 0.000 0.500 Cd
0.000 0.788 0.000 Ag
0.212 0.212 0.000 Ag
0.333 0.667 0.000 Ag
0.667 0.333 0.000 Ag
0.788 0.000 0.000 Ag

Entry 2:
PBE BaLiMnIr2, relaxed; spin magnetization = 1.18 μB/f.u.; calculated formation energy = 0.36 eV per atom; SG = No. 123
1.0
4.602 0.000 0.000
0.000 4.602 0.000
0.000 0.000 4.911
Ba Li Mn Ir
1 1 1 2
direct
0.000 0.000 0.000 Ba
0.500 0.500 0.000 Li
0.500 0.500 0.500 Mn
0.000 0.500 0.500 Ir
0.500 0.000 0.500 Ir

Entry 3:
PBE Ca3HoU2As6, relaxed; spin magnetization = 3.01 μB/f.u.; calculated formation energy = -1.10 eV per atom; SG = No. 12
1.0
3.609 -6.249 0.000
3.609 6.249 0.000
-2.404 0.000 6.837
Ca Ho U As
3 1 2 6
direct
0.000 0.000 0.000 Ca
0.335 0.665 0.000 Ca
0.665 0.335 0.000 Ca
0.500 0.500 0.500 Ho
0.167 0.833 0.500 U
0.833 0.167 0.500 U
0.083 0.423 0.270 As
0.237 0.237 0.731 As
0.423 0.083 0.270 As
0.577 0.917 0.730 As
0.763 0.763 0.269 As
0.917 0.577 0.730 As

Question: Among the records above, which one has the highest spin magnetization?
Answer: Ca3HoU2As6